Below is a relaxed Ce2Sm3Tc2 crystal, with properties calculated at the PBE-GGA level.

Cell and atoms, written as POSCAR:
```
Ce2Sm3Tc2
1.0
3.796 0.005 -0.854
-2.356 5.634 -1.562
0.008 0.270 8.903
Ce Sm Tc
2 3 2
Direct
0.633 0.460 0.806
0.367 0.540 0.194
0.500 0.000 0.000
0.203 0.819 0.585
0.797 0.181 0.415
0.011 0.807 0.216
0.989 0.193 0.784
```

Output
The total DFT energy (no corrections) comes out at -6.76 eV/atom. The density of states at the Fermi level is 8.019 states/eV/cell. The total moment comes out at 0.00 μB per atom. Its crystal system is triclinic. The formation energy is -0.076 eV per atom.